Entry 1:
First-principles (PBE) data for a relaxed Tm3GaRh4 crystal, as listed in the Alexandria database.

```
Tm3GaRh4
1.0
4.608 0.000 0.000
0.000 4.608 0.000
0.000 0.000 6.711
Tm Ga Rh
3 1 4
Direct
0.000 0.000 0.000
0.000 0.000 0.500
0.500 0.500 0.000
0.500 0.500 0.500
0.000 0.500 0.259
0.000 0.500 0.741
0.500 0.000 0.259
0.500 0.000 0.741
```

Values from the calculation:
The value obtained for the formation energy is -0.8907 eV per atom. Its raw total energy is -6.622 eV/atom. Its space-group type is P4/mmm (123). The value obtained for the density is 11.5 g/cm³.


Entry 2:
First-principles (PBE) data for a relaxed TmZrO crystal, as listed in the Alexandria database.

```
TmZrO
1.0
3.447 0.000 0.000
0.000 4.537 0.000
-0.026 0.000 6.909
Tm Zr O
2 2 2
Direct
0.248 0.250 0.145
0.752 0.750 0.855
0.251 0.250 0.604
0.749 0.750 0.396
0.250 0.750 0.636
0.750 0.250 0.364
```

Values from the calculation:
Its raw total energy is -7.669 eV/atom. Its space-group type is P2_1/m (11). The value obtained for the density is 8.5 g/cm³.


Entry 3:
First-principles (PBE) data for a relaxed ReSiTcW crystal, as listed in the Alexandria database.

```
ReSiTcW
1.0
0.000 3.067 3.067
3.067 0.000 3.067
3.067 3.067 0.000
Re Si Tc W
1 1 1 1
Direct
0.000 0.000 0.000
0.250 0.250 0.250
0.500 0.500 0.500
0.750 0.750 0.750
```

Values from the calculation:
Its raw total energy is -10.422 eV/atom. Its space-group type is F-43m (216). The value obtained for the density is 14.3 g/cm³.


These records have V values of 142.5; 108.0; 57.7 Å³/cell, in the order they appear.